<one>
# LiPd6Au2 (PBE, relaxed)
data_LiPd6Au2
_cell_length_a 7.178
_cell_length_b 13.961
_cell_length_c 2.883
_cell_angle_alpha 90.00
_cell_angle_beta 100.98
_cell_angle_gamma 90.00
_symmetry_space_group_name_H-M 'C 1 2/m 1'
_symmetry_Int_Tables_number 12
_symmetry_space_group_name_Hall '-C 2y'
loop_
_atom_site_label
_atom_site_type_symbol
_atom_site_fract_x
_atom_site_fract_y
_atom_site_fract_z
Li1 Li 0.000 0.000 0.000
Pd1 Pd 0.164 0.334 0.829
Pd2 Pd 0.176 0.500 0.333
Au1 Au 0.000 0.156 0.500
# Total magnetization, μB per formula unit: 0.002

<two>
# LiPd6Au2 (PBE, relaxed)
data_LiPd6Au2
_cell_length_a 4.866
_cell_length_b 4.878
_cell_length_c 7.081
_cell_angle_alpha 76.35
_cell_angle_beta 83.87
_cell_angle_gamma 60.14
_symmetry_space_group_name_H-M 'P -1'
_symmetry_Int_Tables_number 2
_symmetry_space_group_name_Hall '-P 1'
loop_
_atom_site_label
_atom_site_type_symbol
_atom_site_fract_x
_atom_site_fract_y
_atom_site_fract_z
Li1 Li 0.000 0.000 0.000
Pd1 Pd 0.003 0.777 0.670
Pd2 Pd 0.332 0.332 0.999
Pd3 Pd 0.338 0.108 0.672
Au1 Au 0.326 0.561 0.325
# Total magnetization, μB per formula unit: 0.001

Here are the energies relative to the best structure, in meV per atom: <one> 42; <two> 0.

<one>
# LiPd8Au6 (PBE, relaxed)
data_LiPd8Au6
_cell_length_a 7.5300
_cell_length_b 7.5300
_cell_length_c 5.4701
_cell_angle_alpha 90.00
_cell_angle_beta 90.00
_cell_angle_gamma 120.00
_symmetry_space_group_name_H-M 'P -3'
_symmetry_Int_Tables_number 147
_symmetry_space_group_name_Hall '-P 3'
loop_
_atom_site_label
_atom_site_type_symbol
_atom_site_fract_x
_atom_site_fract_y
_atom_site_fract_z
Li1 Li 0.0000 0.0000 0.0000
Pd1 Pd 0.0175 0.3394 0.3944
Pd2 Pd 0.3333 0.6667 0.7424
Au1 Au 0.0340 0.6778 0.1143
# Total magnetization, μB per formula unit: 0.000

<two>
# LiPd8Au6 (PBE, relaxed)
data_LiPd8Au6
_cell_length_a 10.4820
_cell_length_b 10.4820
_cell_length_c 2.7885
_cell_angle_alpha 90.00
_cell_angle_beta 90.00
_cell_angle_gamma 120.00
_symmetry_space_group_name_H-M 'P -3'
_symmetry_Int_Tables_number 147
_symmetry_space_group_name_Hall '-P 3'
loop_
_atom_site_label
_atom_site_type_symbol
_atom_site_fract_x
_atom_site_fract_y
_atom_site_fract_z
Li1 Li 0.0000 0.0000 0.0000
Pd1 Pd 0.0693 0.8089 0.2615
Pd2 Pd 0.3333 0.6667 0.7426
Au1 Au 0.0910 0.4563 0.2425
# Total magnetization, μB per formula unit: 0.000

Here are the energies relative to the best structure, in meV per atom: <one> 0; <two> 7.

<one>
# LiPd3Au (PBE, relaxed)
data_LiPd3Au
_cell_length_a 4.796
_cell_length_b 4.854
_cell_length_c 7.426
_cell_angle_alpha 70.93
_cell_angle_beta 71.49
_cell_angle_gamma 79.43
_symmetry_space_group_name_H-M 'P -1'
_symmetry_Int_Tables_number 2
_symmetry_space_group_name_Hall '-P 1'
loop_
_atom_site_label
_atom_site_type_symbol
_atom_site_fract_x
_atom_site_fract_y
_atom_site_fract_z
Li1 Li 0.247 0.248 0.254
Pd1 Pd 0.051 0.254 0.645
Pd2 Pd 0.352 0.752 0.549
Pd3 Pd 0.457 0.247 0.845
Au1 Au 0.156 0.746 0.947
# Total magnetization, μB per formula unit: 0.000

<two>
# LiPd3Au (PBE, relaxed)
data_LiPd3Au
_cell_length_a 4.963
_cell_length_b 7.262
_cell_length_c 5.058
_cell_angle_alpha 90.00
_cell_angle_beta 114.40
_cell_angle_gamma 90.00
_symmetry_space_group_name_H-M 'P 1 21/m 1'
_symmetry_Int_Tables_number 11
_symmetry_space_group_name_Hall '-P 2yb'
loop_
_atom_site_label
_atom_site_type_symbol
_atom_site_fract_x
_atom_site_fract_y
_atom_site_fract_z
Li1 Li 0.152 0.250 0.336
Pd1 Pd 0.175 0.250 0.838
Pd2 Pd 0.314 0.566 0.138
Au1 Au 0.335 0.750 0.639
# Total magnetization, μB per formula unit: 0.000

<three>
# LiPd3Au (PBE, relaxed)
data_LiPd3Au
_cell_length_a 5.020
_cell_length_b 5.020
_cell_length_c 5.020
_cell_angle_alpha 90.00
_cell_angle_beta 90.00
_cell_angle_gamma 90.00
_symmetry_space_group_name_H-M 'P m -3 m'
_symmetry_Int_Tables_number 221
_symmetry_space_group_name_Hall '-P 4 2 3'
loop_
_atom_site_label
_atom_site_type_symbol
_atom_site_fract_x
_atom_site_fract_y
_atom_site_fract_z
Li1 Li 0.000 0.000 0.000
Pd1 Pd 0.000 0.500 0.500
Au1 Au 0.500 0.500 0.500
# Total magnetization, μB per formula unit: 0.000

Here are the energies relative to the best structure, in meV per atom: <one> 0; <two> 144; <three> 957.

<one>
# Li3Pd2Au6 (PBE, relaxed)
data_Li3Pd2Au6
_cell_length_a 4.891
_cell_length_b 6.403
_cell_length_c 6.407
_cell_angle_alpha 106.89
_cell_angle_beta 105.05
_cell_angle_gamma 98.35
_symmetry_space_group_name_H-M 'P -1'
_symmetry_Int_Tables_number 2
_symmetry_space_group_name_Hall '-P 1'
loop_
_atom_site_label
_atom_site_type_symbol
_atom_site_fract_x
_atom_site_fract_y
_atom_site_fract_z
Li1 Li 0.000 0.000 0.000
Li2 Li 0.099 0.803 0.362
Pd1 Pd 0.273 0.450 0.090
Au1 Au 0.180 0.636 0.734
Au2 Au 0.348 0.258 0.445
Au3 Au 0.445 0.092 0.812
# Total magnetization, μB per formula unit: 0.000

<two>
# Li3Pd2Au6 (PBE, relaxed)
data_Li3Pd2Au6
_cell_length_a 3.889
_cell_length_b 3.889
_cell_length_c 26.282
_cell_angle_alpha 90.00
_cell_angle_beta 90.00
_cell_angle_gamma 90.00
_symmetry_space_group_name_H-M 'I 4/m m m'
_symmetry_Int_Tables_number 139
_symmetry_space_group_name_Hall '-I 4 2'
loop_
_atom_site_label
_atom_site_type_symbol
_atom_site_fract_x
_atom_site_fract_y
_atom_site_fract_z
Li1 Li 0.000 0.000 0.000
Li2 Li 0.000 0.000 0.147
Pd1 Pd 0.000 0.000 0.349
Au1 Au 0.000 0.000 0.246
Au2 Au 0.000 0.500 0.072
# Total magnetization, μB per formula unit: 0.000

Here are the energies relative to the best structure, in meV per atom: <one> 0; <two> 203.

<one>
# LiPd5Au6 (PBE, relaxed)
data_LiPd5Au6
_cell_length_a 4.545
_cell_length_b 6.416
_cell_length_c 7.171
_cell_angle_alpha 89.98
_cell_angle_beta 72.14
_cell_angle_gamma 89.93
_symmetry_space_group_name_H-M 'P -1'
_symmetry_Int_Tables_number 2
_symmetry_space_group_name_Hall '-P 1'
loop_
_atom_site_label
_atom_site_type_symbol
_atom_site_fract_x
_atom_site_fract_y
_atom_site_fract_z
Li1 Li 0.000 0.000 0.000
Pd1 Pd 0.000 0.500 0.000
Pd2 Pd 0.330 0.000 0.339
Pd3 Pd 0.335 0.500 0.329
Au1 Au 0.164 0.248 0.672
Au2 Au 0.165 0.752 0.672
Au3 Au 0.500 0.239 0.000
# Total magnetization, μB per formula unit: 0.000

<two>
# LiPd5Au6 (PBE, relaxed)
data_LiPd5Au6
_cell_length_a 4.100
_cell_length_b 7.928
_cell_length_c 12.170
_cell_angle_alpha 90.00
_cell_angle_beta 90.00
_cell_angle_gamma 90.00
_symmetry_space_group_name_H-M 'I m m m'
_symmetry_Int_Tables_number 71
_symmetry_space_group_name_Hall '-I 2 2'
loop_
_atom_site_label
_atom_site_type_symbol
_atom_site_fract_x
_atom_site_fract_y
_atom_site_fract_z
Li1 Li 0.000 0.000 0.000
Pd1 Pd 0.000 0.000 0.333
Pd2 Pd 0.000 0.500 0.000
Pd3 Pd 0.000 0.500 0.336
Au1 Au 0.000 0.249 0.166
Au2 Au 0.000 0.253 0.500
# Total magnetization, μB per formula unit: 0.000

Here are the energies relative to the best structure, in meV per atom: <one> 5; <two> 0.

<one>
# Li2PdAu5 (PBE, relaxed)
data_Li2PdAu5
_cell_length_a 4.301
_cell_length_b 9.559
_cell_length_c 13.242
_cell_angle_alpha 90.00
_cell_angle_beta 90.00
_cell_angle_gamma 90.00
_symmetry_space_group_name_H-M 'C m c m'
_symmetry_Int_Tables_number 63
_symmetry_space_group_name_Hall '-C 2c 2'
loop_
_atom_site_label
_atom_site_type_symbol
_atom_site_fract_x
_atom_site_fract_y
_atom_site_fract_z
Li1 Li 0.000 0.232 0.132
Pd1 Pd 0.000 0.255 0.750
Au1 Au 0.000 0.073 0.594
Au2 Au 0.000 0.372 0.554
Au3 Au 0.000 0.459 0.250
# Total magnetization, μB per formula unit: 0.000

<two>
# Li2PdAu5 (PBE, relaxed)
data_Li2PdAu5
_cell_length_a 5.715
_cell_length_b 5.715
_cell_length_c 8.036
_cell_angle_alpha 90.00
_cell_angle_beta 90.00
_cell_angle_gamma 90.00
_symmetry_space_group_name_H-M 'I 4/m m m'
_symmetry_Int_Tables_number 139
_symmetry_space_group_name_Hall '-I 4 2'
loop_
_atom_site_label
_atom_site_type_symbol
_atom_site_fract_x
_atom_site_fract_y
_atom_site_fract_z
Li1 Li 0.000 0.500 0.000
Pd1 Pd 0.000 0.000 0.000
Au1 Au 0.000 0.000 0.500
Au2 Au 0.250 0.250 0.250
# Total magnetization, μB per formula unit: 0.000

Here are the energies relative to the best structure, in meV per atom: <one> 107; <two> 0.